[1]
This record from OQMD describes an optimized crystal structure of CdN. The functional is GGA-PBE.

As for the total energy: -3.586 eV per atom. The calculation puts the offset from the most stable computed form at 0.000 eV/atom.

Lattice parameters (Å, degrees): 3.343 3.343 3.343 60.00 60.00 60.00
Fractional coordinates of all 2 atoms:
Cd 0.000 0.000 0.000
N 0.500 0.500 0.500

---

[2]
This record from OQMD describes an optimized crystal structure of CdN. The functional is GGA-PBE.

As for the total energy: -3.585 eV per atom. The calculation puts the offset from the most stable computed form at 0.000 eV/atom.

Lattice parameters (Å, degrees): 3.351 3.351 3.351 59.65 59.65 59.65
Fractional coordinates of all 2 atoms:
N 0.500 0.500 0.500
Cd 0.000 0.000 0.000

---

[3]
This record from OQMD describes an optimized crystal structure of CdN2. The functional is GGA-PBE.

As for the total energy: -3.341 eV per atom. The calculation puts the offset from the most stable computed form at 1.228 eV/atom.

Lattice parameters (Å, degrees): 4.547 4.547 4.547 60.00 60.00 60.00
Fractional coordinates of all 6 atoms:
N 0.625 0.625 0.625
Cd 0.250 0.250 0.250
N 0.125 0.625 0.625
N 0.625 0.625 0.125
Cd 0.000 0.000 0.000
N 0.625 0.125 0.625

---

[4]
This record from OQMD describes an optimized crystal structure of CdN. The functional is GGA-PBE.

As for the total energy: -3.428 eV per atom. The calculation puts the offset from the most stable computed form at 0.158 eV/atom.

Lattice parameters (Å, degrees): 6.027 3.359 5.920 90.00 90.00 90.00
Fractional coordinates of all 8 atoms:
N 0.250 0.500 0.773
Cd 0.250 0.000 0.003
N 0.750 0.500 0.227
Cd 0.500 0.500 0.500
N 0.750 0.000 0.641
N 0.250 0.000 0.359
Cd 0.000 0.500 0.500
Cd 0.750 0.000 0.997

---

[5]
This record from OQMD describes an optimized crystal structure of NaCdNO. The functional is GGA-PBE.

As for the total energy: -3.658 eV per atom. The calculation puts the offset from the most stable computed form at 0.139 eV/atom.

Lattice parameters (Å, degrees): 4.632 4.632 4.648 90.00 90.00 90.00
Fractional coordinates of all 8 atoms:
Cd 0.750 0.250 0.500
Na 0.250 0.250 0.000
N 0.250 0.250 0.500
O 0.750 0.250 0.000
O 0.250 0.750 0.000
Cd 0.250 0.750 0.500
N 0.750 0.750 0.500
Na 0.750 0.750 0.000

---

[6]
This record from OQMD describes an optimized crystal structure of NaCdNO. The functional is GGA-PBE.

As for the total energy: -3.624 eV per atom. The calculation puts the offset from the most stable computed form at 0.172 eV/atom.

Lattice parameters (Å, degrees): 4.678 4.678 4.615 90.00 90.00 90.00
Fractional coordinates of all 8 atoms:
Cd 0.000 0.500 0.001
O 0.000 0.000 0.000
Cd 0.500 0.000 0.999
Na 0.500 0.500 0.500
Na 0.000 0.000 0.500
N 0.500 0.000 0.500
N 0.000 0.500 0.500
O 0.500 0.500 0.000